## Rb2LaCl2O2 (PBE)

Data for an optimized crystal structure of Rb2LaCl2O2.

```
7
Lattice="-2.307 2.307 8.817 2.307 -2.307 8.817 2.307 2.307 -8.817" Properties=species:S:1:pos:R:3 pbc="T T T"
Rb 0.000 0.000 2.450
Rb 0.000 0.000 15.184
La 0.000 0.000 8.817
Cl 0.000 0.000 5.864
Cl 0.000 0.000 11.769
O 2.307 0.000 0.000
O 0.000 2.307 0.000
```

Summary:
The calculation puts the magnetic moment at 1.01 μB per formula unit. Its theoretical density is 3651 kg/m3. For the uncorrected formation energy, the calculation gives -2.122 eV/atom.